Compound: Tb5HoEr7
Source: the Alexandria database
Functional: PBE
Structure: optimized geometry

a b c (Å): 8.6073 8.6073 8.6073
angles (deg): 134.69 100.32 96.75
Fractional coordinates of all 13 atoms:
Tb 0.0001 0.0001 0.0000
Tb 0.2257 0.2693 0.4950
Tb 0.2257 0.7307 0.9564
Tb 0.7743 0.2693 0.0436
Tb 0.7743 0.7307 0.5050
Ho 0.1958 0.6958 0.5000
Er 0.0807 0.2508 0.8299
Er 0.4209 0.2508 0.1701
Er 0.4994 0.4994 0.0000
Er 0.5014 0.0014 0.5000
Er 0.5795 0.7490 0.8306
Er 0.8064 0.3064 0.5000
Er 0.9184 0.7490 0.1694

Output
DOS(E_F): 24.56 states/eV/cell
total DFT energy (no corrections): -4.326 eV per atom
ΔH_f (0 K): 0.26 eV/atom
distance to the lowest polymorph of the same formula: 4 meV per atom